[1]
## Zn2OsPb (GGA-PBE)

Data for crystalline Zn2OsPb at its relaxed geometry.

Cell lengths 2.9702, 2.9702, 9.4576 Å; angles 90.00, 90.00, 115.20 degrees
Last column: nearest neighbours and their distance in Å.
Element x y z (fractional)
Zn (0.0000, 0.0000, 0.0388)  2 Os 2.55
Os (0.5000, 0.5000, 0.2500)  4 Zn 2.55
Zn (0.0000, 0.0000, 0.4612)  2 Os 2.55
Pb (0.5000, 0.5000, 0.7500)  6 Pb 2.97-3.18, 4 Zn 3.16

Properties
DFT formation energy ... 0.568 eV per atom
SG ... Cmmm



[2]
## Gd2AgN (GGA-PBE)

Data for crystalline Gd2AgN at its relaxed geometry.

Cell lengths 3.5752, 3.5752, 7.8580 Å; angles 76.85, 76.85, 60.00 degrees
Last column: nearest neighbours and their distance in Å.
Element x y z (fractional)
Gd (0.7269, 0.7269, 0.8193)  3 N 2.48
N (0.0000, 0.0000, 0.0000)  6 Gd 2.48
Ag (0.5000, 0.5000, 0.5000)  6 Gd 3.18
Gd (0.2731, 0.2731, 0.1807)  3 N 2.48

Properties
SG ... R-3m



[3]
## Ti3VS4 (GGA-PBE)

Data for crystalline Ti3VS4 at its relaxed geometry.

Cell lengths 4.6601, 5.9377, 9.2934 Å; angles 90.00, 90.00, 90.00 degrees
Last column: nearest neighbours and their distance in Å.
Element x y z (fractional)
Ti (0.5645, 0.1482, 0.7531)  5 S 2.41-2.50
S (0.5643, 0.2743, 0.0000)  3 Ti 2.41-2.51, 2 V 2.47
S (0.0644, 0.7267, 0.0000)  1 V 2.43, 4 Ti 2.44-2.47
Ti (0.5645, 0.1482, 0.2469)  5 S 2.41-2.50
Ti (0.5645, 0.8508, 0.0000)  5 S 2.44-2.51
S (0.0645, 0.2733, 0.2453)  1 V 2.42, 4 Ti 2.45-2.50
S (0.0645, 0.2733, 0.7547)  1 V 2.42, 4 Ti 2.45-2.50
V (0.0642, 0.1354, 0.0000)  5 S 2.42-2.47
S (0.0643, 0.7257, 0.5000)  3 Ti 2.41-2.51, 2 V 2.47
Ti (0.0645, 0.8518, 0.2531)  5 S 2.41-2.50
S (0.5645, 0.7267, 0.7453)  1 V 2.42, 4 Ti 2.45-2.50
Ti (0.0645, 0.1492, 0.5000)  5 S 2.44-2.51
S (0.5645, 0.7267, 0.2547)  1 V 2.42, 4 Ti 2.45-2.50
V (0.5642, 0.8646, 0.5000)  5 S 2.42-2.47
S (0.5644, 0.2733, 0.5000)  1 V 2.43, 4 Ti 2.44-2.47
Ti (0.0645, 0.8518, 0.7469)  5 S 2.41-2.50

Properties
SG ... Pmmn



[4]
## SrTa2Hg (GGA-PBE)

Data for crystalline SrTa2Hg at its relaxed geometry.

Cell lengths 5.5907, 3.1884, 5.2662 Å; angles 85.40, 90.00, 90.00 degrees
Last column: nearest neighbours and their distance in Å.
Element x y z (fractional)
Ta (0.0000, 0.1246, 0.0118)  2 Ta 2.69-2.81
Sr (0.5000, 0.7500, 0.7500)  4 Hg 2.97-3.19, 2 Sr 3.19
Ta (0.0000, 0.3754, 0.4882)  2 Ta 2.69-2.81
Hg (0.5000, 0.2500, 0.2500)  4 Sr 2.97-3.19, 4 Ta 3.10, 2 Hg 3.19

Properties
DFT formation energy ... 0.689 eV per atom
SG ... P2/m



[5]
## NaPa2PdN4 (GGA-PBE)

Data for crystalline NaPa2PdN4 at its relaxed geometry.

Cell lengths 5.4623, 5.4623, 5.4623 Å; angles 95.69, 116.77, 116.77 degrees
Last column: nearest neighbours and their distance in Å.
Element x y z (fractional)
N (0.0000, 0.6183, 0.1295)  1 Pd 2.18, 2 Pa 2.22, 1 Na 2.27
N (0.4889, 0.8705, 0.8705)  1 Pd 2.18, 2 Pa 2.22, 1 Na 2.27
N (0.0000, 0.1295, 0.6183)  1 Pd 2.18, 2 Pa 2.22, 1 Na 2.27
Na (0.0000, 0.0000, 0.0000)  4 N 2.27
Pa (0.5000, 0.2500, 0.7500)  4 N 2.22
Pd (0.0000, 0.5000, 0.5000)  4 N 2.18
Pa (0.5000, 0.7500, 0.2500)  4 N 2.22
N (0.5111, 0.3817, 0.3817)  1 Pd 2.18, 2 Pa 2.22, 1 Na 2.27

Properties
SG ... I-42m



[6]
## Nd3P4Pd7 (GGA-PBE)

Data for crystalline Nd3P4Pd7 at its relaxed geometry.

Cell lengths 4.0751, 8.1104, 8.3102 Å; angles 71.13, 75.81, 75.45 degrees
Last column: nearest neighbours and their distance in Å.
Element x y z (fractional)
Pd (0.1661, 0.5859, 0.0819)  3 P 2.51-2.66
Nd (0.0000, 0.5000, 0.5000)  6 P 3.01-3.05, 6 Pd 3.25-3.31
Pd (0.4909, 0.2365, 0.7817)  3 P 2.50-2.51
Pd (0.5091, 0.7635, 0.2183)  3 P 2.50-2.51
Nd (0.3194, 0.1831, 0.1780)  4 P 3.00-3.04, 10 Pd 3.04-3.23
P (0.1055, 0.1089, 0.6801)  6 Pd 2.48-2.61
Nd (0.6806, 0.8169, 0.8220)  4 P 3.00-3.04, 10 Pd 3.04-3.23
Pd (0.0000, 0.0000, 0.0000)  2 P 2.48
P (0.6601, 0.4397, 0.2401)  5 Pd 2.50-2.66
P (0.8945, 0.8911, 0.3199)  6 Pd 2.48-2.61
P (0.3399, 0.5603, 0.7599)  5 Pd 2.50-2.66
Pd (0.8339, 0.4141, 0.9181)  3 P 2.51-2.66
Pd (0.3059, 0.8593, 0.5289)  4 P 2.56-2.61, 1 Pd 2.81
Pd (0.6941, 0.1407, 0.4711)  4 P 2.56-2.61, 1 Pd 2.81

Properties
DFT formation energy ... -0.960 eV per atom
SG ... C2/m



[7]
## SiBiP2S (GGA-PBE)

Data for crystalline SiBiP2S at its relaxed geometry.

Cell lengths 5.2195, 5.2195, 5.1779 Å; angles 90.00, 90.00, 90.00 degrees
Last column: nearest neighbours and their distance in Å.
Element x y z (fractional)
Bi (0.0000, 0.0000, 0.0000)  2 S 2.59, 4 P 2.61
P (0.0000, 0.5000, 0.0000)  2 Bi 2.61
S (0.0000, 0.0000, 0.5000)  2 Bi 2.59
Si (0.5000, 0.5000, 0.5000)  8 P 3.68, 4 S 3.69
P (0.5000, 0.0000, 0.0000)  2 Bi 2.61

Properties
SG ... P4/mmm



[8]
## SrReTe (GGA-PBE)

Data for crystalline SrReTe at its relaxed geometry.

Cell lengths 3.6722, 3.6722, 6.8543 Å; angles 90.00, 90.00, 120.00 degrees
Last column: nearest neighbours and their distance in Å.
Element x y z (fractional)
Sr (0.6667, 0.3333, 0.3179)  3 Re 3.26, 3 Te 3.50
Re (0.0000, 0.0000, 0.9571)  3 Te 2.65
Te (0.3333, 0.6667, 0.7250)  3 Re 2.65

Properties
SG ... P3m1



no.,E_tot (eV per atom)
1,-3.804
2,-10.636
3,-7.325
4,-5.733
5,-8.039
6,-6.124
7,-3.434
8,-5.239